Compound: SrAlI
Source: Alexandria via LeMat-Bulk
Functional: PBE-GGA
Structure: optimized geometry

```
data_SrAlI
_chemical_formula_sum 'Sr2 Al2 I2'
_space_group_name_H-M_alt 'P 1'
_space_group_IT_number 1
_cell_length_a 13.2374
_cell_length_b 13.2374
_cell_length_c 4.0962
_cell_angle_alpha 98.69
_cell_angle_beta 98.69
_cell_angle_gamma 17.80
loop_
_space_group_symop_operation_xyz
'x,y,z'
loop_
_atom_site_label
_atom_site_fract_x
_atom_site_fract_y
_atom_site_fract_z
_atom_site_occupancy
Sr1 0.1079 0.1079 0.1052 1
Sr2 0.8921 0.8921 0.8948 1
Al1 0.0000 0.0000 0.5000 1
Al2 0.5000 0.5000 0.0000 1
I1 0.3259 0.3259 0.3302 1
I2 0.6741 0.6741 0.6698 1
```

Computed properties:
Its total energy is -3.10 eV per atom. For the formation energy from raw total energies, the calculation gives -775 meV per atom.